Material: CeGa2NiAu
Method: DFT, PBE-GGA
State: optimized geometry

Calculated values
DFT formation energy   -506 meV per atom
E   -23.58 eV per cell

Lattice parameters (Å, degrees): 4.1073 3.9822 6.3880 108.16 108.75 90.00
Closest atoms and distances in Å follow each position.
Sites, in units of the cell vectors:
Ce (0.4293, 0.4293, 0.8585)  4 Ni 3.03, 6 Ga 3.16-3.30, 2 Au 3.36
Au (0.1929, 0.6929, 0.3858)  6 Ga 2.60-2.86, 2 Ni 2.66
Ga (0.7028, 0.2028, 0.4057)  2 Ni 2.54, 2 Ga 2.73
Ga (0.0459, 0.0459, 0.0918)  1 Ni 2.34, 2 Au 2.60
Ni (0.8412, 0.8412, 0.6824)  3 Ga 2.34-2.54